# Li2CoTc, relaxed, DFT GGA-PBEsol
data_Li2CoTc
_symmetry_space_group_name_H-M 'P 4/m m m'
_symmetry_Int_Tables_number 123
_symmetry_space_group_name_Hall '-P 4 2'
_cell_length_a 4.456
_cell_length_b 4.456
_cell_length_c 2.398
_cell_angle_alpha 90.00
_cell_angle_beta 90.00
_cell_angle_gamma 90.00
loop_
_atom_site_label
_atom_site_type_symbol
_atom_site_fract_x
_atom_site_fract_y
_atom_site_fract_z
_atom_site_occupancy
Li1 Li 0.000 0.500 0.000 1
Co1 Co 0.000 0.000 0.500 1
Tc1 Tc 0.500 0.500 0.500 1
# Energy: -5.098 eV/atom
# Density of states at the Fermi level: 3.1 states/eV/cell
# Energy above the most stable polymorph in this dataset: 380 meV/atom
# Calculated formation energy: 637 meV/atom